Below is a relaxed structure of YBiB3, with properties calculated at the PBE-GGA level.

Lattice parameters (Å, degrees): 4.688 4.688 4.688 90.00 90.00 90.00
Element x y z (fractional)
Y (0.000, 0.000, 0.000)
Bi (0.500, 0.500, 0.500)
B (0.000, 0.000, 0.500)
B (0.000, 0.500, 0.000)
B (0.500, 0.000, 0.000)

Output
As for the relative energy among the computed polymorphs: 0.47 eV per formula unit. For the total magnetic moment, the calculation gives 0.000 μB per atom. As for the formation energy: 1.93 eV/atom.